Density functional theory data (PBE) for a geometry-optimized DyTlAu structure.

crystal system	monoclinic

```
data_DyTlAu
_cell_length_a 6.656
_cell_length_b 6.801
_cell_length_c 6.857
_cell_angle_alpha 90.00
_cell_angle_beta 97.61
_cell_angle_gamma 90.00
_space_group_name_H-M_alt 'C 1 2/m 1'
_space_group_IT_number 12
loop_
_space_group_symop_operation_xyz
'x,y,z'
'-x,-y,-z'
'-x,y,-z'
'x,-y,z'
'x+1/2,y+1/2,z'
'-x+1/2,-y+1/2,-z'
'-x+1/2,y+1/2,-z'
'x+1/2,-y+1/2,z'
loop_
_atom_site_label
_atom_site_type_symbol
_atom_site_fract_x
_atom_site_fract_y
_atom_site_fract_z
Dy1 Dy 0.193 0.000 0.241
Tl1 Tl 0.205 0.500 0.196
Au1 Au 0.000 0.272 0.500
```

Density functional theory data (PBE) for a geometry-optimized NaY2Al2 structure.

crystal system	tetragonal
distance to the lowest polymorph of the same formula	0	meV/atom

```
data_NaY2Al2
_cell_length_a 8.540
_cell_length_b 8.540
_cell_length_c 3.571
_cell_angle_alpha 90.00
_cell_angle_beta 90.00
_cell_angle_gamma 90.00
_space_group_name_H-M_alt 'P 4/m b m'
_space_group_IT_number 127
_space_group_name_Hall '-P 4 2ab'
loop_
_atom_site_label
_atom_site_type_symbol
_atom_site_fract_x
_atom_site_fract_y
_atom_site_fract_z
Na1 Na 0.000 0.000 0.000
Y1 Y 0.179 0.321 0.500
Al1 Al 0.113 0.613 0.000
```

Density functional theory data (PBE) for a geometry-optimized CsY2GaS structure.

crystal system	tetragonal
E_form (uncorrected)	0.184	eV/atom

```
data_CsY2GaS
_cell_length_a 5.520
_cell_length_b 5.520
_cell_length_c 5.910
_cell_angle_alpha 90.00
_cell_angle_beta 90.00
_cell_angle_gamma 90.00
_space_group_name_H-M_alt 'P 4/m m m'
_space_group_IT_number 123
_space_group_name_Hall '-P 4 2'
loop_
_atom_site_label
_atom_site_type_symbol
_atom_site_fract_x
_atom_site_fract_y
_atom_site_fract_z
Cs1 Cs 0.000 0.000 0.000
Y1 Y 0.000 0.500 0.500
Ga1 Ga 0.500 0.500 0.500
S1 S 0.500 0.500 0.000
```

Density functional theory data (PBE) for a geometry-optimized UTlCuCl6 structure.

crystal system	trigonal
E_form (uncorrected)	-1.266	eV/atom

```
data_UTlCuCl6
_cell_length_a 6.6443
_cell_length_b 6.6443
_cell_length_c 14.7246
_cell_angle_alpha 90.00
_cell_angle_beta 90.00
_cell_angle_gamma 120.00
_space_group_name_H-M_alt 'P -3 1 c'
_space_group_IT_number 163
_space_group_name_Hall '-P 3 2c'
loop_
_atom_site_label
_atom_site_type_symbol
_atom_site_fract_x
_atom_site_fract_y
_atom_site_fract_z
U1 U 0.3333 0.6667 0.2500
Tl1 Tl 0.0000 0.0000 0.0000
Cu1 Cu 0.3333 0.6667 0.7500
Cl1 Cl 0.0087 0.3677 0.6471
```

These records have volume values of 25.642 26.046 36.020 31.275 A^3/atom, in the order they appear.
These records have uncorrected energy values of -3.868 -4.522 -4.003 -4.470 eV per atom, in the order they appear.